1.
Here is a geometry-optimized BeTeMo2Pb structure from Alexandria. Energies are from GGA-PBE.

Summary:
Formation energy from raw total energies: 2048.5 meV per atom

Cell: 5.046 5.816 5.046 Å, 90.00 90.00 90.00°
Site moments in Bohr magnetons follow the coordinates.
Fractional positions:
Mo1 0.500 0.000 0.000  1.87
Mo2 0.000 0.000 0.500  1.93
Pb1 0.000 0.500 0.000  -0.05
Be1 0.500 0.500 0.500  -0.08
Te1 0.000 0.000 0.000  -0.05

2.
Here is a geometry-optimized MnTe2Os structure from Alexandria. Energies are from GGA-PBE.

Summary:
Formation energy from raw total energies: 899.2 meV per atom
ΔE to the lowest computed polymorph: 818.2 meV per atom

Cell: 3.259 3.259 8.781 Å, 90.00 90.00 118.88°
Site moments in Bohr magnetons follow the coordinates.
Fractional positions:
Te1 0.000 0.000 0.995  0.01
Os1 0.500 0.500 0.750  0.13
Te2 0.000 0.000 0.505  0.01
Mn1 0.500 0.500 0.250  3.64

3.
Here is a geometry-optimized ScHg2P structure from Alexandria. Energies are from GGA-PBE.

Summary:
ΔE_f: -0.30 eV per atom

Cell: 3.990 3.990 5.255 Å, 90.00 90.00 90.00°
Fractional positions:
Hg1 0.500 0.000 0.000
P1 0.500 0.500 0.500
Hg2 0.000 0.500 0.000
Sc1 0.000 0.000 0.500

4.
Here is a geometry-optimized Sm2YTmP4 structure from Alexandria. Energies are from GGA-PBE.

Summary:
ΔE_f: -1.59 eV per atom

Cell: 4.047 7.007 7.002 Å, 109.48 90.00 90.00°
Fractional positions:
P1 0.500 0.250 0.243
Y1 0.000 0.000 0.000
P2 0.500 0.750 0.757
Sm1 0.000 0.500 0.500
P3 0.000 0.255 0.758
Tm1 0.500 0.500 0.000
P4 0.000 0.745 0.242
Sm2 0.500 0.000 0.500

5.
Here is a geometry-optimized LiAg structure from Alexandria. Energies are from GGA-PBE.

Summary:
ΔE_f: -0.07 eV per atom

Cell: 2.948 2.948 9.358 Å, 90.00 90.00 120.00°
Fractional positions:
Ag1 0.000 0.000 0.995
Li1 0.667 0.333 0.762
Li2 0.000 0.000 0.488
Ag2 0.667 0.333 0.255

6.
Here is a geometry-optimized Ga2AsI structure from Alexandria. Energies are from GGA-PBE.

Summary:
Formation energy from raw total energies: -139.5 meV per atom
ΔE to the lowest computed polymorph: 0.0 meV per atom

Cell: 4.246 4.246 8.215 Å, 75.02 75.02 60.00°
Fractional positions:
Ga1 0.883 0.883 0.352
I1 0.000 0.000 0.000
As1 0.500 0.500 0.500
Ga2 0.117 0.117 0.648

7.
Here is a geometry-optimized Tb3HoRh structure from Alexandria. Energies are from GGA-PBE.

Summary:
ΔE to the lowest computed polymorph: 0.0 meV per atom
ΔE_f: -0.28 eV per atom

Cell: 6.150 6.512 7.577 Å, 90.01 90.00 90.00°
Fractional positions:
Ho1 0.433 0.329 0.701
Tb1 0.925 0.489 0.951
Rh1 0.676 0.678 0.201
Rh2 0.176 0.674 0.701
Tb2 0.425 0.864 0.950
Tb3 0.425 0.864 0.451
Tb4 0.919 0.026 0.701
Tb5 0.419 0.327 0.201
Tb6 0.925 0.489 0.450
Ho2 0.933 0.024 0.201

8.
Here is a geometry-optimized Pm5InPb6 structure from Alexandria. Energies are from GGA-PBE.

Summary:
ΔE_f: -0.31 eV per atom

Cell: 8.324 8.585 6.940 Å, 51.79 84.24 80.66°
Fractional positions:
Pb1 0.763 0.749 0.000
Pb2 0.237 0.251 0.000
Pb3 0.254 0.582 0.331
Pm1 0.500 0.837 0.325
Pb4 0.746 0.418 0.669
Pm2 0.500 0.500 0.000
Pb5 0.746 0.086 0.331
Pm3 0.500 0.163 0.675
In1 0.000 0.000 0.000
Pm4 0.000 0.685 0.631
Pm5 0.000 0.315 0.369
Pb6 0.254 0.914 0.669

9.
Here is a geometry-optimized Tm2SeI structure from Alexandria. Energies are from GGA-PBE.

Summary:
Formation energy from raw total energies: -1031.4 meV per atom
ΔE to the lowest computed polymorph: 65.7 meV per atom

Cell: 3.811 7.227 8.978 Å, 78.85 77.82 90.00°
Fractional positions:
Se1 0.473 0.469 0.064
Tm1 0.010 0.214 0.990
Se2 0.434 0.945 0.142
I1 0.767 0.257 0.477
I2 0.105 0.866 0.799
Tm2 0.886 0.645 0.239
Tm3 0.656 0.552 0.696
Tm4 0.277 0.918 0.457

10.
Here is a geometry-optimized La2CeNd6 structure from Alexandria. Energies are from GGA-PBE.

Summary:
ΔE_f: 0.08 eV per atom

Cell: 9.214 9.214 6.832 Å, 47.65 47.65 66.58°
Fractional positions:
La1 0.327 0.327 0.673
Nd1 0.834 0.166 0.500
Ce1 0.000 0.000 0.000
La2 0.673 0.673 0.327
Nd2 0.500 0.834 0.832
Nd3 0.166 0.834 0.500
Nd4 0.500 0.166 0.168
Nd5 0.166 0.500 0.168
Nd6 0.834 0.500 0.832

11.
Here is a geometry-optimized LaCu2Pt structure from Alexandria. Energies are from GGA-PBE.

Summary:
ΔE to the lowest computed polymorph: 154.1 meV per atom
ΔE_f: -0.37 eV per atom

Cell: 4.347 4.347 9.598 Å, 76.91 76.91 90.00°
Fractional positions:
Cu1 0.375 0.207 0.750
Cu2 0.957 0.625 0.250
Cu3 0.875 0.043 0.750
Pt1 0.000 0.000 0.000
Cu4 0.793 0.125 0.250
Pt2 0.750 0.250 0.500
La1 0.250 0.750 0.500
La2 0.500 0.500 0.000

12.
Here is a geometry-optimized FePPdS2 structure from Alexandria. Energies are from GGA-PBE.

Summary:
Formation energy from raw total energies: 911.4 meV per atom
ΔE to the lowest computed polymorph: 378.5 meV per atom

Cell: 4.809 4.809 4.451 Å, 90.00 90.00 90.00°
Site moments in Bohr magnetons follow the coordinates.
Fractional positions:
S1 0.500 0.000 0.000  0.08
Pd1 0.000 0.000 0.000  0.01
P1 0.000 0.000 0.500  -0.03
S2 0.000 0.500 0.000  0.08
Fe1 0.500 0.500 0.500  3.41

13.
Here is a geometry-optimized ZnHg2SbPb structure from Alexandria. Energies are from GGA-PBE.

Summary:
Formation energy from raw total energies: 603.4 meV per atom

Cell: 5.747 5.313 5.747 Å, 90.00 90.00 90.00°
Site moments in Bohr magnetons follow the coordinates.
Fractional positions:
Pb1 0.000 0.000 0.000  0.01
Sb1 0.500 0.500 0.500  0.54
Hg1 0.000 0.000 0.500  0.01
Hg2 0.500 0.000 0.000  0.04
Zn1 0.000 0.500 0.000  0.01

14.
Here is a geometry-optimized Pm2Al4Ni3Pd structure from Alexandria. Energies are from GGA-PBE.

Summary:
ΔE_f: -0.63 eV per atom

Cell: 4.215 4.215 9.931 Å, 90.00 90.00 90.00°
Fractional positions:
Pd1 0.500 0.500 0.500
Al1 0.000 0.000 0.000
Ni1 0.000 0.500 0.128
Pm1 0.500 0.000 0.248
Al2 0.500 0.500 0.000
Al3 0.500 0.000 0.630
Ni2 0.000 0.000 0.500
Al4 0.000 0.500 0.370
Ni3 0.500 0.000 0.872
Pm2 0.000 0.500 0.752

15.
Here is a geometry-optimized CrTc2Ag structure from Alexandria. Energies are from GGA-PBE.

Summary:
ΔE to the lowest computed polymorph: 228.9 meV per atom
ΔE_f: 0.53 eV per atom

Cell: 4.757 4.757 4.757 Å, 132.21 132.21 69.90°
Fractional positions:
Tc1 0.000 0.000 0.000
Tc2 0.500 0.500 0.000
Cr1 0.750 0.250 0.500
Ag1 0.250 0.750 0.500

16.
Here is a geometry-optimized Tm6TlAu2Se3 structure from Alexandria. Energies are from GGA-PBE.

Summary:
Formation energy from raw total energies: -1155.9 meV per atom

Cell: 3.928 8.690 9.620 Å, 111.91 101.78 90.00°
Fractional positions:
Se1 0.833 0.179 0.666
Tm1 0.672 0.568 0.344
Tm2 0.673 0.074 0.345
Se2 0.500 0.500 0.000
Tm3 0.327 0.926 0.655
Au1 0.157 0.309 0.314
Tm4 0.328 0.432 0.656
Se3 0.167 0.821 0.334
Tm5 0.995 0.267 0.990
Tm6 0.005 0.733 0.010
Au2 0.843 0.691 0.686
Tl1 0.500 0.000 0.000

17.
Here is a geometry-optimized Mg2In3Pb2 structure from Alexandria. Energies are from GGA-PBE.

Summary:
ΔE_f: -0.02 eV per atom

Cell: 3.440 3.459 15.942 Å, 90.00 96.19 90.00°
Fractional positions:
Mg1 0.863 0.000 0.726
Mg2 0.137 0.000 0.274
Pb1 0.296 0.500 0.592
Pb2 0.704 0.500 0.408
In1 0.573 0.500 0.147
In2 0.000 0.000 0.000
In3 0.427 0.500 0.853

18.
Here is a geometry-optimized ZnSe5 structure from Alexandria. Energies are from GGA-PBE.

Summary:
Formation energy from raw total energies: 408.7 meV per atom

Cell: 3.444 3.444 10.728 Å, 90.00 90.00 90.00°
Fractional positions:
Se1 0.000 0.000 0.500
Se2 0.500 0.500 0.348
Se3 0.500 0.500 0.652
Se4 0.000 0.000 0.879
Se5 0.000 0.000 0.121
Zn1 0.500 0.500 0.000

19.
Here is a geometry-optimized LaAlAgCl2 structure from Alexandria. Energies are from GGA-PBE.

Summary:
Formation energy from raw total energies: -526.6 meV per atom

Cell: 5.404 6.741 5.404 Å, 90.00 90.00 90.00°
Fractional positions:
Al1 0.000 0.500 0.000
Cl1 0.000 0.000 0.500
Cl2 0.500 0.000 0.000
La1 0.000 0.000 0.000
Ag1 0.500 0.500 0.500

20.
Here is a geometry-optimized Hf5MgRh6 structure from Alexandria. Energies are from GGA-PBE.

Summary:
ΔE_f: -0.87 eV per atom

Cell: 4.573 6.560 7.947 Å, 114.38 106.72 90.00°
Fractional positions:
Rh1 0.500 0.743 0.000
Hf1 0.339 0.839 0.678
Hf2 0.661 0.161 0.322
Hf3 0.667 0.667 0.334
Hf4 0.333 0.333 0.666
Rh2 0.170 0.424 0.339
Rh3 0.500 0.257 0.000
Mg1 0.000 0.000 0.000
Rh4 0.170 0.916 0.339
Rh5 0.830 0.576 0.661
Hf5 0.000 0.500 0.000
Rh6 0.830 0.084 0.661

What did we get for calculated volume? Answer: 148.1; 81.7; 83.7; 187.2; 70.4; 122.4; 303.5; 384.5; 236.9; 315.1; 171.8; 102.9; 175.5; 176.4; 57.9; 297.2; 188.6; 127.3; 196.8; 206.0 Å³ per cell, in the order shown.